# Fe2CoS4

A relaxed structure of Fe2CoS4 (PBE-GGA, the Open Quantum Materials Database).

## Properties
Energy ... -6.127 eV/atom
Magnetization ... 0.9 μB per cell

Cell lengths 6.576, 6.576, 9.263 Å; angles 90.00, 90.00, 90.00 degrees
Atoms (fractional coordinates):
Fe1 0.000 0.237 0.000
Fe2 0.000 0.763 0.500
Fe3 0.237 0.000 0.750
Fe4 0.260 0.260 0.375
Fe5 0.260 0.740 0.125
Fe6 0.740 0.260 0.625
Fe7 0.740 0.740 0.875
Fe8 0.763 0.000 0.250
Co1 0.241 0.500 0.750
Co2 0.500 0.241 0.000
Co3 0.500 0.759 0.500
Co4 0.759 0.500 0.250
S1 0.003 0.250 0.754
S2 0.003 0.750 0.746
S3 0.247 0.478 0.993
S4 0.247 0.522 0.507
S5 0.250 0.003 0.996
S6 0.250 0.997 0.504
S7 0.478 0.247 0.757
S8 0.478 0.753 0.743
S9 0.522 0.247 0.243
S10 0.522 0.753 0.257
S11 0.750 0.003 0.004
S12 0.750 0.997 0.496
S13 0.753 0.478 0.007
S14 0.753 0.522 0.493
S15 0.997 0.250 0.246
S16 0.997 0.750 0.254

---

# FeCoSnS3

A relaxed structure of FeCoSnS3 (PBE-GGA, the Open Quantum Materials Database).

## Properties
Energy ... -5.579 eV/atom
Magnetization ... 2.6 μB per cell
Relative energy among the computed polymorphs ... 0.000 eV per atom

Cell lengths 6.689, 6.689, 9.317 Å; angles 90.00, 90.00, 151.72 degrees
Atoms (fractional coordinates):
Fe1 0.000 0.000 0.000
Fe2 0.000 0.000 0.500
Co1 0.370 0.630 0.750
Co2 0.630 0.370 0.250
Sn1 0.287 0.713 0.250
Sn2 0.713 0.287 0.750
S1 0.010 0.990 0.250
S2 0.378 0.622 0.511
S3 0.378 0.622 0.989
S4 0.622 0.378 0.011
S5 0.622 0.378 0.489
S6 0.990 0.010 0.750

---

# FeCoSnS3

A relaxed structure of FeCoSnS3 (PBE-GGA, the Open Quantum Materials Database).

## Properties
Energy ... -5.512 eV/atom
Magnetization ... 6.2 μB per cell
Relative energy among the computed polymorphs ... 0.068 eV per atom

Cell lengths 6.786, 6.786, 8.754 Å; angles 90.00, 90.00, 150.08 degrees
Atoms (fractional coordinates):
Fe1 0.025 0.975 0.750
Fe2 0.975 0.025 0.250
Co1 0.500 0.500 0.000
Co2 0.500 0.500 0.500
Sn1 0.264 0.736 0.250
Sn2 0.736 0.264 0.750
S1 0.123 0.877 0.546
S2 0.123 0.877 0.954
S3 0.427 0.573 0.750
S4 0.573 0.427 0.250
S5 0.877 0.123 0.046
S6 0.877 0.123 0.454

---

# SrFeCoS3

A relaxed structure of SrFeCoS3 (PBE-GGA, the Open Quantum Materials Database).

## Properties
Energy ... -5.690 eV/atom
Magnetization ... 9.8 μB per cell
Relative energy among the computed polymorphs ... 0.010 eV per atom

Cell lengths 6.748, 6.748, 8.805 Å; angles 90.00, 90.00, 147.43 degrees
Atoms (fractional coordinates):
Sr1 0.242 0.758 0.750
Sr2 0.758 0.242 0.250
Fe1 0.477 0.523 0.250
Fe2 0.523 0.477 0.750
Co1 0.000 0.000 0.000
Co2 0.000 0.000 0.500
S1 0.069 0.931 0.250
S2 0.375 0.625 0.044
S3 0.375 0.625 0.456
S4 0.625 0.375 0.544
S5 0.625 0.375 0.956
S6 0.931 0.069 0.750